Entry 1:
VASP calculation (PBE) on a geometry-optimized GeMo2Pb structure.

Cell: 4.637 4.637 4.637 Å, 60.00 60.00 60.00°
Fractional coordinates of all 4 atoms:
Ge 0.000 0.000 0.000
Mo 0.250 0.250 0.250
Mo 0.750 0.750 0.750
Pb 0.500 0.500 0.500

Computed properties:
Energy relative to the elements ... 597 meV per atom
Excess energy over the best structure of this formula in the dataset ... 0.000 eV/f.u.



Entry 2:
VASP calculation (PBE) on a geometry-optimized GeMoPb3 structure.

Cell: 5.413 5.413 5.413 Å, 90.00 90.00 90.00°
Fractional coordinates of all 5 atoms:
Ge 0.000 0.000 0.000
Mo 0.500 0.500 0.500
Pb 0.000 0.500 0.500
Pb 0.500 0.000 0.500
Pb 0.500 0.500 0.000

Computed properties:
Energy relative to the elements ... 771 meV per atom
Excess energy over the best structure of this formula in the dataset ... 0.000 eV/f.u.



Entry 3:
VASP calculation (PBE) on a geometry-optimized GeMo2Pb structure.

Cell: 9.967 9.967 9.967 Å, 155.92 155.92 34.32°
Fractional coordinates of all 8 atoms:
Ge 0.000 0.000 0.000
Ge 0.750 0.250 0.500
Mo 0.045 0.625 0.920
Mo 0.375 0.295 0.420
Mo 0.705 0.125 0.080
Mo 0.875 0.955 0.580
Pb 0.250 0.750 0.500
Pb 0.500 0.500 0.000

Computed properties:
Energy relative to the elements ... 696 meV per atom
Excess energy over the best structure of this formula in the dataset ... 0.396 eV/f.u.



What are the electronic total energy values for these records? In order: -6.900 -4.544 -6.801 eV/atom.